LiCaV: relaxed, PBE-GGA.

Lattice parameters (Å, degrees): 6.1405 7.5864 3.2243 85.10 80.37 66.52
Fractional positions:
Li: 0.0649 0.3411 0.7778
Li: 0.9351 0.6589 0.2222
Ca: 0.0000 0.0000 0.5000
V: 0.5175 0.8868 0.8651
Ca: 0.5000 0.5000 0.5000
V: 0.4825 0.1132 0.1349

Summary:
formation enthalpy at 0 K: 0.399 eV per atom
E above lowest polymorph: 126 meV/atom
Fermi-level density of states: 2.6 states/eV/f.u.